No. 1
{
  "formula": "KTa2Sn",
  "functional": "PBE-GGA",
  "state": "relaxed",
  "lattice_angstrom": [[-0.3454, 1.0831, 8.3200], [5.4332, -6.3163, 1.0478], [4.7402, -0.7526, 4.5324]],
  "species": ["Ta", "Ta", "Ta", "Ta", "Sn", "Sn", "K", "K"],
  "frac_coords": [[0.8750, 0.9174, 0.7500], [0.3750, 0.3326, 0.7500], [0.0826, 0.6250, 0.2500], [0.6674, 0.1250, 0.2500], [0.7500, 0.2500, 0.5000], [0.0000, 0.0000, 0.0000], [0.5000, 0.5000, 0.0000], [0.2500, 0.7500, 0.5000]],
  "space_group": "I-42d, No. 122",
  "vol_a3_per_atom": 25.43,
  "formation_enthalpy_0k_ev_per_atom": 1.5154
}

No. 2
{
  "formula": "Sm6Tl3H",
  "functional": "PBE-GGA",
  "state": "relaxed",
  "lattice_angstrom": [[-3.2087, -0.5537, -5.6387], [5.4132, -6.2056, -2.4710], [-6.5293, -7.0874, 3.4950]],
  "species": ["Sm", "Sm", "Sm", "Sm", "Sm", "Sm", "Sm", "Sm", "Sm", "Sm", "Sm", "Sm", "H", "H", "Tl", "Tl", "Tl", "Tl", "Tl", "Tl"],
  "frac_coords": [[0.6379, 0.1467, 0.9480], [0.8998, 0.7069, 0.9419], [0.6494, 0.4517, 0.2777], [0.3998, 0.7931, 0.4419], [0.1002, 0.2931, 0.0581], [0.8506, 0.9517, 0.2223], [0.3506, 0.5483, 0.7223], [0.8621, 0.6467, 0.5520], [0.1379, 0.3533, 0.4480], [0.3621, 0.8533, 0.0520], [0.6002, 0.2069, 0.5581], [0.1494, 0.0483, 0.7777], [0.5000, 0.5000, 0.5000], [0.0000, 0.0000, 0.0000], [0.0000, 0.0000, 0.5000], [0.5000, 0.5000, 0.0000], [0.5925, 0.8813, 0.7353], [0.4075, 0.1187, 0.2647], [0.9075, 0.3813, 0.7647], [0.0925, 0.6187, 0.2353]],
  "space_group": "P2_1/c, No. 14",
  "vol_a3_per_atom": 28.61,
  "dft_energy_ev_per_atom": -4.094
}

No. 3
{
  "formula": "LiCaAgAu2",
  "functional": "PBE-GGA",
  "state": "relaxed",
  "lattice_angstrom": [[-3.5234, -1.0971, -1.5198], [0.8690, -3.8232, 0.7454], [-1.4533, 3.0078, 6.4380]],
  "species": ["Au", "Au", "Li", "Ag", "Ca"],
  "frac_coords": [[0.6036, 0.6036, 0.2071], [0.3964, 0.3964, 0.7929], [0.7500, 0.2500, 0.5000], [0.2500, 0.7500, 0.5000], [0.0000, 0.0000, 0.0000]],
  "space_group": "I-4m2, No. 119",
  "vol_a3_per_atom": 21.28,
  "formation_enthalpy_0k_ev_per_atom": -0.5119
}

No. 4
{
  "formula": "Sr3EuH",
  "functional": "PBE-GGA",
  "state": "relaxed",
  "lattice_angstrom": [[-5.1564, 0.6540, 2.5071], [1.7862, -3.1477, 4.4948], [1.8769, 4.7923, 2.6101]],
  "species": ["Sr", "Sr", "Sr", "Eu", "H"],
  "frac_coords": [[0.0000, 0.5000, 0.0000], [0.5000, 0.0000, 0.0000], [0.0000, 0.0000, 0.5000], [0.5000, 0.5000, 0.5000], [0.0000, 0.0000, 0.0000]],
  "space_group": "Pm-3m, No. 221",
  "vol_a3_per_atom": 38.43,
  "dft_energy_ev_per_atom": -3.818
}

No. 5
{
  "formula": "BaAc2SmSe4",
  "functional": "PBE-GGA",
  "state": "relaxed",
  "lattice_angstrom": [[-3.8298, -1.7650, -1.3298], [-0.7290, -3.5323, 6.7874], [-3.8281, 4.6393, 4.8672]],
  "species": ["Se", "Se", "Se", "Se", "Ac", "Ac", "Ba", "Sm"],
  "frac_coords": [[0.0000, 0.7508, 0.7354], [0.5000, 0.7398, 0.2666], [0.0000, 0.2492, 0.2646], [0.5000, 0.2602, 0.7334], [0.0000, 0.0000, 0.0000], [0.5000, 0.0000, 0.5000], [0.5000, 0.5000, 0.0000], [0.0000, 0.5000, 0.5000]],
  "space_group": "P2/m, No. 10",
  "vol_a3_per_atom": 31.06,
  "e_form_raw_ev_per_fu": -14.81
}

No. 6
{
  "formula": "Sm5Dy2Er6",
  "functional": "PBE-GGA",
  "state": "relaxed",
  "lattice_angstrom": [[-2.2648, 1.7691, 2.1151], [-7.5873, 0.7313, -8.7361], [-8.3692, -17.6389, 5.7922]],
  "species": ["Sm", "Sm", "Sm", "Sm", "Sm", "Sm", "Sm", "Sm", "Sm", "Sm", "Er", "Er", "Er", "Er", "Er", "Er", "Er", "Er", "Er", "Er", "Er", "Er", "Dy", "Dy", "Dy", "Dy"],
  "frac_coords": [[0.5000, 0.4149, 0.7273], [0.5000, 0.3012, 0.4501], [0.5000, 0.8012, 0.0499], [0.5000, 0.0851, 0.2273], [0.5000, 0.5851, 0.2727], [0.5000, 0.6988, 0.5499], [0.5000, 0.5000, 0.0000], [0.5000, 0.9149, 0.7727], [0.5000, 0.1988, 0.9501], [0.5000, 0.0000, 0.5000], [0.5000, 0.8251, 0.3628], [0.0000, 0.0606, 0.0813], [0.0000, 0.9191, 0.6312], [0.0000, 0.5606, 0.4187], [0.5000, 0.3251, 0.1372], [0.5000, 0.6749, 0.8628], [0.5000, 0.1749, 0.6372], [0.0000, 0.5809, 0.1312], [0.0000, 0.4394, 0.5813], [0.0000, 0.9394, 0.9187], [0.0000, 0.0809, 0.3688], [0.0000, 0.4191, 0.8688], [0.0000, 0.3296, 0.2897], [0.0000, 0.1704, 0.7897], [0.0000, 0.6704, 0.7103], [0.0000, 0.8296, 0.2103]],
  "space_group": "Pbam, No. 55",
  "vol_a3_per_atom": 32.40,
  "formation_enthalpy_0k_ev_per_atom": 0.0959
}

No. 7
{
  "formula": "Zr3TiTl2",
  "functional": "PBE-GGA",
  "state": "relaxed",
  "lattice_angstrom": [[-2.0751, -2.0963, 0.8815], [3.2532, -1.5435, 3.9873], [-4.1766, 7.5319, 2.7038]],
  "species": ["Ti", "Zr", "Zr", "Zr", "Tl", "Tl"],
  "frac_coords": [[0.0000, 0.0000, 0.0000], [0.0000, 0.5000, 0.0000], [0.8363, 0.8363, 0.6726], [0.1637, 0.1637, 0.3274], [0.6607, 0.6607, 0.3213], [0.3393, 0.3393, 0.6787]],
  "space_group": "Immm, No. 71",
  "vol_a3_per_atom": 23.37,
  "relative_energy_ev_per_fu": 2.49,
  "formation_enthalpy_0k_ev_per_atom": 0.3696
}

No. 8
{
  "formula": "NdGe2Rh4",
  "functional": "PBE-GGA",
  "state": "relaxed",
  "lattice_angstrom": [[-4.0217, -0.9298, 0.6433], [1.7346, -4.1928, 4.7839], [-1.0815, 12.5730, 11.4117]],
  "species": ["Ge", "Ge", "Ge", "Ge", "Ge", "Ge", "Ge", "Ge", "Rh", "Rh", "Rh", "Rh", "Rh", "Rh", "Rh", "Rh", "Rh", "Rh", "Rh", "Rh", "Rh", "Rh", "Rh", "Rh", "Nd", "Nd", "Nd", "Nd"],
  "frac_coords": [[0.2500, 0.9763, 0.7825], [0.7500, 0.4763, 0.7175], [0.7500, 0.2341, 0.9615], [0.7500, 0.0237, 0.2175], [0.2500, 0.7659, 0.0385], [0.7500, 0.2659, 0.4615], [0.2500, 0.7341, 0.5385], [0.2500, 0.5237, 0.2825], [0.2500, 0.4940, 0.4261], [0.7500, 0.8569, 0.4695], [0.2500, 0.8139, 0.1856], [0.2500, 0.2722, 0.6937], [0.7500, 0.7722, 0.8063], [0.7500, 0.5060, 0.5739], [0.2500, 0.6861, 0.6856], [0.2500, 0.0060, 0.9261], [0.2500, 0.1431, 0.5305], [0.7500, 0.1861, 0.8144], [0.7500, 0.9940, 0.0739], [0.7500, 0.7278, 0.3063], [0.7500, 0.6431, 0.9695], [0.2500, 0.2278, 0.1937], [0.7500, 0.3139, 0.3144], [0.2500, 0.3569, 0.0305], [0.2500, 0.0036, 0.3621], [0.7500, 0.9964, 0.6379], [0.7500, 0.5036, 0.1379], [0.2500, 0.4964, 0.8621]],
  "space_group": "Pnma, No. 62",
  "vol_a3_per_atom": 16.74,
  "relative_energy_ev_per_fu": 0.26,
  "formation_enthalpy_0k_ev_per_atom": -0.6539
}

No. 9
{
  "formula": "K2SrPr",
  "functional": "PBE-GGA",
  "state": "relaxed",
  "lattice_angstrom": [[3.9426, 0.0000, 0.0000], [1.9713, 3.4144, 0.0000], [1.9713, 1.1381, 15.3790]],
  "species": ["Pr", "K", "K", "Sr"],
  "frac_coords": [[0.0000, 0.0000, 0.0000], [0.9175, 0.9175, 0.2476], [0.0825, 0.0825, 0.7524], [0.5000, 0.5000, 0.5000]],
  "space_group": "R-3m, No. 166",
  "vol_a3_per_atom": 51.76,
  "formation_enthalpy_0k_ev_per_atom": 0.3463
}